TlCr2AgF, relaxed, DFT PBE+U; size of the total moment = 10.2 μB per formula unit; electronic total energy = -4.030 eV/atom; space-group type = P4/mmm
1.0
5.215 0.000 0.000
0.000 5.417 0.000
0.000 0.000 5.215
Tl Cr Ag F
1 2 1 1
Direct
0.000 0.500 0.000
0.500 0.000 0.000
0.000 0.000 0.500
0.000 0.000 0.000
0.500 0.500 0.500